! PBE Sr2TaTl, relaxed; values from VASP
! Total energy: -3.84 eV per atom
! Excess energy over the best structure of this formula in the dataset: 0.031 eV/atom
! DOS(E_F): 1.165 states/eV per atom
! Formation enthalpy at 0 K: 0.56 eV per atom
&SYSTEM
  ibrav = 0, nat = 4, ntyp = 3
/
ATOMIC_SPECIES
Sr 87.62 Sr.upf
Ta 180.95 Ta.upf
Tl 204.38 Tl.upf
ATOMIC_POSITIONS crystal
Sr 0.0000 0.0000 0.0000
Sr 0.5000 0.3204 0.3204
Ta 0.5000 0.6047 0.6047
Tl 0.0000 0.7138 0.7138
CELL_PARAMETERS angstrom
5.1674 0.0000 0.0000
0.0000 1.8042 6.7763
0.0000 -1.8042 6.7763

---

! PBE Na3Pr3SiO8, relaxed; values from VASP
! Total energy: -6.69 eV per atom
! Raw formation energy: -2.466 eV/atom
&SYSTEM
  ibrav = 0, nat = 15, ntyp = 4
/
ATOMIC_SPECIES
Na 22.99 Na.upf
Pr 140.91 Pr.upf
Si 28.09 Si.upf
O 16.00 O.upf
ATOMIC_POSITIONS crystal
Na 0.0000 0.5000 0.5000
Na 0.5000 0.0000 0.5000
Na 0.5000 0.5000 0.0000
Pr 0.0000 0.0000 0.5000
Pr 0.0000 0.5000 0.0000
Pr 0.5000 0.0000 0.0000
Si 0.5000 0.5000 0.5000
O 0.2411 0.2411 0.2411
O 0.2957 0.6961 0.6961
O 0.3039 0.3039 0.7043
O 0.3039 0.7043 0.3039
O 0.6961 0.2957 0.6961
O 0.6961 0.6961 0.2957
O 0.7043 0.3039 0.3039
O 0.7589 0.7589 0.7589
CELL_PARAMETERS angstrom
3.4501 1.9919 5.5531
-3.4501 1.9919 5.5531
0.0000 -3.9838 5.5531

---

! PBE Ho3Zn2Hg3, relaxed; values from VASP
! Total energy: -2.52 eV per atom
! DOS(E_F): 0.602 states/eV per atom
! Formation enthalpy at 0 K: -0.37 eV per atom
&SYSTEM
  ibrav = 0, nat = 8, ntyp = 3
/
ATOMIC_SPECIES
Ho 164.93 Ho.upf
Zn 65.41 Zn.upf
Hg 200.59 Hg.upf
ATOMIC_POSITIONS crystal
Ho 0.0000 0.3928 0.0000
Ho 0.3928 0.0000 0.0000
Ho 0.6072 0.6072 0.0000
Zn 0.3333 0.6667 0.5000
Zn 0.6667 0.3333 0.5000
Hg 0.0000 0.7518 0.5000
Hg 0.2482 0.2482 0.5000
Hg 0.7518 0.0000 0.5000
CELL_PARAMETERS angstrom
7.5527 0.0000 0.0000
-3.7763 6.5408 0.0000
0.0000 0.0000 3.7589

---

! PBE Pr4Ge2Bi, relaxed; values from VASP
! Total energy: -5.28 eV per atom
! DOS(E_F): 0.818 states/eV per atom
! Formation enthalpy at 0 K: -0.67 eV per atom
&SYSTEM
  ibrav = 0, nat = 14, ntyp = 3
/
ATOMIC_SPECIES
Pr 140.91 Pr.upf
Ge 72.64 Ge.upf
Bi 208.98 Bi.upf
ATOMIC_POSITIONS crystal
Pr 0.2080 0.2774 0.5694
Pr 0.2080 0.6386 0.9306
Pr 0.2774 0.2080 0.0694
Pr 0.3614 0.7920 0.5694
Pr 0.6386 0.2080 0.4306
Pr 0.7226 0.7920 0.9306
Pr 0.7920 0.3614 0.0694
Pr 0.7920 0.7226 0.4306
Ge 0.0000 0.5000 0.5000
Ge 0.5000 0.0000 0.0000
Ge 0.5000 0.5000 0.0000
Ge 0.5000 0.5000 0.5000
Bi 0.1250 0.8750 0.2500
Bi 0.8750 0.1250 0.7500
CELL_PARAMETERS angstrom
-4.9183 4.9183 4.8929
4.9183 -4.9183 4.8929
4.9183 4.9183 -4.8929

---

! PBE MnAgSe2, relaxed; values from VASP
! Total energy: -4.78 eV per atom
! DOS(E_F): 0.400 states/eV per atom
! Raw formation energy: -0.032 eV/atom
&SYSTEM
  ibrav = 0, nat = 4, ntyp = 3
/
ATOMIC_SPECIES
Mn 54.94 Mn.upf
Ag 107.87 Ag.upf
Se 78.96 Se.upf
ATOMIC_POSITIONS crystal
Mn 0.0000 0.0000 0.0000
Ag 0.0000 0.0000 0.5000
Se 0.5000 0.5000 0.2245
Se 0.5000 0.5000 0.7755
CELL_PARAMETERS angstrom
1.8192 -3.5524 0.0000
1.8192 3.5524 0.0000
0.0000 0.0000 7.4629

---

! PBE NpTePdAu, relaxed; values from VASP
! Total energy: -6.42 eV per atom
! DOS(E_F): 3.099 states/eV per atom
! Raw formation energy: -0.283 eV/atom
&SYSTEM
  ibrav = 0, nat = 4, ntyp = 4
/
ATOMIC_SPECIES
Np 237.00 Np.upf
Te 127.60 Te.upf
Pd 106.42 Pd.upf
Au 196.97 Au.upf
ATOMIC_POSITIONS crystal
Np 0.0000 0.0000 0.0000
Te 0.2500 0.2500 0.2500
Pd 0.5000 0.5000 0.5000
Au 0.7500 0.7500 0.7500
CELL_PARAMETERS angstrom
0.0000 3.5179 3.5179
3.5179 0.0000 3.5179
3.5179 3.5179 0.0000

---

! PBE La3Tb2Er2, relaxed; values from VASP
! Total energy: -4.62 eV per atom
! DOS(E_F): 1.548 states/eV per atom
! Formation enthalpy at 0 K: 0.11 eV per atom
&SYSTEM
  ibrav = 0, nat = 7, ntyp = 3
/
ATOMIC_SPECIES
La 138.91 La.upf
Tb 158.93 Tb.upf
Er 167.26 Er.upf
ATOMIC_POSITIONS crystal
La 0.0000 0.0000 0.0000
La 0.2138 0.2138 0.2946
La 0.7862 0.7862 0.7054
Tb 0.4356 0.4356 0.5887
Tb 0.5644 0.5644 0.4113
Er 0.1414 0.1414 0.8215
Er 0.8586 0.8586 0.1785
CELL_PARAMETERS angstrom
8.8850 -1.7613 0.0000
8.8850 1.7613 0.0000
-4.1205 0.0000 7.5748

---

! PBE SmYIrPt, relaxed; values from VASP
! Total energy: -7.46 eV per atom
! DOS(E_F): 0.442 states/eV per atom
! Formation enthalpy at 0 K: -0.94 eV per atom
&SYSTEM
  ibrav = 0, nat = 4, ntyp = 4
/
ATOMIC_SPECIES
Sm 150.36 Sm.upf
Y 88.91 Y.upf
Ir 192.22 Ir.upf
Pt 195.08 Pt.upf
ATOMIC_POSITIONS crystal
Sm 0.0000 0.0000 0.0000
Y 0.5000 0.5000 0.5000
Ir 0.7500 0.7500 0.7500
Pt 0.2500 0.2500 0.2500
CELL_PARAMETERS angstrom
0.0000 3.5023 3.5023
3.5023 0.0000 3.5023
3.5023 3.5023 0.0000

---

! PBE KNaBr2, relaxed; values from VASP
! Total energy: -3.06 eV per atom
! Excess energy over the best structure of this formula in the dataset: 0.021 eV/atom
! DOS(E_F): 0.000 states/eV per atom
! Raw formation energy: -1.620 eV/atom
&SYSTEM
  ibrav = 0, nat = 4, ntyp = 3
/
ATOMIC_SPECIES
K 39.10 K.upf
Na 22.99 Na.upf
Br 79.90 Br.upf
ATOMIC_POSITIONS crystal
K 0.0000 0.0000 0.0000
Na 0.1695 0.1695 0.1695
Br 0.5754 0.5754 0.5754
Br 0.7605 0.7605 0.7605
CELL_PARAMETERS angstrom
2.2009 1.2707 7.6730
-2.2009 1.2707 7.6730
0.0000 -2.5414 7.6730

---

! PBE ReHIrRh2, relaxed; values from VASP
! Total energy: -7.79 eV per atom
! Excess energy over the best structure of this formula in the dataset: 0.000 eV/atom
! DOS(E_F): 1.175 states/eV per atom
&SYSTEM
  ibrav = 0, nat = 5, ntyp = 4
/
ATOMIC_SPECIES
Re 186.21 Re.upf
H 1.01 H.upf
Ir 192.22 Ir.upf
Rh 102.91 Rh.upf
ATOMIC_POSITIONS crystal
Re 0.0000 0.0000 0.0000
H 0.0000 0.0000 0.5000
Ir 0.5000 0.5000 0.0000
Rh 0.0000 0.5000 0.5000
Rh 0.5000 0.0000 0.5000
CELL_PARAMETERS angstrom
3.8811 0.0000 0.0000
0.0000 3.8811 0.0000
0.0000 0.0000 3.9810

---

! PBE ReTePt2Se, relaxed; values from VASP
! Total energy: -4.76 eV per atom
! DOS(E_F): 0.861 states/eV per atom
! Raw formation energy: 1.476 eV/atom
&SYSTEM
  ibrav = 0, nat = 5, ntyp = 4
/
ATOMIC_SPECIES
Re 186.21 Re.upf
Te 127.60 Te.upf
Pt 195.08 Pt.upf
Se 78.96 Se.upf
ATOMIC_POSITIONS crystal
Re 0.0000 0.0000 0.0000
Te 0.5000 0.5000 0.0000
Pt 0.0000 0.5000 0.5000
Pt 0.5000 0.0000 0.5000
Se 0.5000 0.5000 0.5000
CELL_PARAMETERS angstrom
4.6255 0.0000 0.0000
0.0000 4.6255 0.0000
0.0000 0.0000 5.6270

---

! PBE CsCl3, relaxed; values from VASP
! Total energy: -2.27 eV per atom
! DOS(E_F): 0.579 states/eV per atom
! Raw formation energy: -0.669 eV/atom
&SYSTEM
  ibrav = 0, nat = 8, ntyp = 2
/
ATOMIC_SPECIES
Cs 132.91 Cs.upf
Cl 35.45 Cl.upf
ATOMIC_POSITIONS crystal
Cs 0.0000 0.0000 0.0000
Cs 0.7500 0.2500 0.5000
Cl 0.2500 0.7500 0.5000
Cl 0.2568 0.6250 0.1318
Cl 0.3750 0.5068 0.6318
Cl 0.4932 0.1250 0.8682
Cl 0.5000 0.5000 0.0000
Cl 0.8750 0.7432 0.3682
CELL_PARAMETERS angstrom
-3.0068 3.0068 8.7964
3.0068 -3.0068 8.7964
3.0068 3.0068 -8.7964